(1)
CaTlCl5 | GGA-PBE | optimized geometry

The calculation puts the uncorrected formation energy at -9.5 eV/f.u. The total magnetization is 0.4 μB per cell.

It has space group C2/c (No. 15), with a = 10.676 Å, b = 10.141 Å, c = 10.325 Å, α = 90.00°, β = 118.45° and γ = 90.00°. Symmetry generates all atoms from Ca at (0.000, 0.000, 0.000), Tl at (0.000, 0.393, 0.250), Cl at (0.000, 0.058, 0.750), Cl at (0.026, 0.275, 0.471) and Cl at (0.205, 0.451, 0.842).


(2)
CaTlCl | GGA-PBE | optimized geometry

The calculation puts the uncorrected formation energy at -3.0 eV/f.u. The energy above the most stable polymorph in this dataset is 55 meV per atom. The total magnetization is 0.0 μB per cell.

It has space group I4mm (No. 107), with a = 3.554 Å, b = 3.554 Å, c = 15.784 Å, α = 90.00°, β = 90.00° and γ = 90.00°. Symmetry generates all atoms from Ca at (0.000, 0.000, 0.000), Tl at (0.000, 0.000, 0.659) and Cl at (0.000, 0.000, 0.414).


(3)
Ca12Tl3Cl5 | GGA-PBE | optimized geometry

The calculation puts the uncorrected formation energy at -17.5 eV/f.u. The total magnetization is 15.3 μB per cell.

It has space group Ia-3d (No. 230), with a = 17.587 Å, b = 17.587 Å, c = 17.587 Å, α = 90.00°, β = 90.00° and γ = 90.00°. Symmetry generates all atoms from Ca at (0.023, 0.068, 0.655), Tl at (0.000, 0.250, 0.125), Cl at (0.000, 0.000, 0.000) and Cl at (0.000, 0.250, 0.375).


(4)
Ca3Tl4Cl10 | GGA-PBE | optimized geometry

The calculation puts the uncorrected formation energy at -29.3 eV/f.u. The total magnetization is 0.0 μB per cell.

It has space group I4/mmm (No. 139), with a = 5.387 Å, b = 5.387 Å, c = 37.371 Å, α = 90.00°, β = 90.00° and γ = 90.00°. Symmetry generates all atoms from Ca at (0.000, 0.000, 0.000), Ca at (0.000, 0.000, 0.145), Tl at (0.000, 0.000, 0.297), Tl at (0.000, 0.000, 0.431), Cl at (0.000, 0.000, 0.072), Cl at (0.000, 0.000, 0.217), Cl at (0.000, 0.500, 0.000) and Cl at (0.000, 0.500, 0.142).


(5)
CaTlCl | GGA-PBE | optimized geometry

The calculation puts the uncorrected formation energy at -1.9 eV/f.u. The energy above the most stable polymorph in this dataset is 410 meV per atom. The total magnetization is 0.0 μB per cell.

It has space group F-43m (No. 216), with a = 7.246 Å, b = 7.246 Å, c = 7.246 Å, α = 90.00°, β = 90.00° and γ = 90.00°. Symmetry generates all atoms from Ca at (0.000, 0.000, 0.000), Tl at (0.000, 0.000, 0.500) and Cl at (0.250, 0.250, 0.250).


(6)
CaTlCl | GGA-PBE | optimized geometry

The calculation puts the uncorrected formation energy at -3.0 eV/f.u. The energy above the most stable polymorph in this dataset is 40 meV per atom. The total magnetization is 0.0 μB per cell.

It has space group P3m1 (No. 156), with a = 3.8027 Å, b = 3.8027 Å, c = 8.2420 Å, α = 90.00°, β = 90.00° and γ = 120.00°. Symmetry generates all atoms from Ca at (0.0000, 0.0000, 0.0000), Tl at (0.6667, 0.3333, 0.6750) and Cl at (0.3333, 0.6667, 0.1947).


(7)
CaTl4Cl | GGA-PBE | optimized geometry

The calculation puts the uncorrected formation energy at -1.3 eV/f.u. The total magnetization is 0.0 μB per cell.

It has space group F-43m (No. 216), with a = 9.090 Å, b = 9.090 Å, c = 9.090 Å, α = 90.00°, β = 90.00° and γ = 90.00°. Symmetry generates all atoms from Ca at (0.000, 0.000, 0.000), Tl at (0.125, 0.125, 0.375) and Cl at (0.250, 0.250, 0.750).


(8)
CaTlCl3 | GGA-PBE | optimized geometry

The calculation puts the uncorrected formation energy at -9.1 eV/f.u. The total magnetization is 0.0 μB per cell.

It has space group Pm-3m (No. 221), with a = 5.389 Å, b = 5.389 Å, c = 5.389 Å, α = 90.00°, β = 90.00° and γ = 90.00°. Symmetry generates all atoms from Ca at (0.000, 0.000, 0.000), Tl at (0.500, 0.500, 0.500) and Cl at (0.000, 0.000, 0.500).


(9)
Ca2Tl3Cl7 | GGA-PBE | optimized geometry

The calculation puts the uncorrected formation energy at -19.8 eV/f.u. The total magnetization is 0.0 μB per cell.

It has space group Cmmm (No. 65), with a = 5.425 Å, b = 26.405 Å, c = 5.287 Å, α = 90.00°, β = 90.00° and γ = 90.00°. Symmetry generates all atoms from Ca at (0.000, 0.104, 0.000), Tl at (0.000, 0.314, 0.500), Tl at (0.000, 0.500, 0.500), Cl at (0.000, 0.000, 0.000), Cl at (0.000, 0.100, 0.500), Cl at (0.000, 0.204, 0.000) and Cl at (0.000, 0.401, 0.000).


(10)
CaTlCl3 | GGA-PBE | optimized geometry

The calculation puts the uncorrected formation energy at -9.3 eV/f.u. The total magnetization is 0.0 μB per cell.

It has space group Pnma (No. 62), with a = 9.295 Å, b = 4.170 Å, c = 15.358 Å, α = 90.00°, β = 90.00° and γ = 90.00°. Symmetry generates all atoms from Ca at (0.180, 0.250, 0.049), Tl at (0.060, 0.750, 0.313), Cl at (0.005, 0.250, 0.901), Cl at (0.164, 0.250, 0.483) and Cl at (0.202, 0.750, 0.708).


(11)
CaTlCl | GGA-PBE | optimized geometry

The calculation puts the uncorrected formation energy at -1.5 eV/f.u. The energy above the most stable polymorph in this dataset is 536 meV per atom. The total magnetization is 0.5 μB per cell.

It has space group F-43m (No. 216), with a = 7.410 Å, b = 7.410 Å, c = 7.410 Å, α = 90.00°, β = 90.00° and γ = 90.00°. Symmetry generates all atoms from Ca at (0.000, 0.000, 0.000), Tl at (0.250, 0.250, 0.750) and Cl at (0.250, 0.250, 0.250).


(12)
CaTlCl3 | GGA-PBE | optimized geometry

The calculation puts the uncorrected formation energy at -9.3 eV/f.u. The total magnetization is 0.0 μB per cell.

It has space group Cmcm (No. 63), with a = 4.119 Å, b = 13.836 Å, c = 10.383 Å, α = 90.00°, β = 90.00° and γ = 90.00°. Symmetry generates all atoms from Ca at (0.000, 0.000, 0.000), Tl at (0.000, 0.262, 0.250), Cl at (0.000, 0.065, 0.750) and Cl at (0.000, 0.371, 0.547).


(13)
CaTl2Cl8 | GGA-PBE | optimized geometry

The calculation puts the uncorrected formation energy at -12.1 eV/f.u. The energy above the most stable polymorph in this dataset is 6 meV per atom. The total magnetization is 0.0 μB per cell.

It has space group C2/m (No. 12), with a = 13.261 Å, b = 9.235 Å, c = 6.648 Å, α = 90.00°, β = 101.06° and γ = 90.00°. Symmetry generates all atoms from Ca at (0.000, 0.000, 0.000), Tl at (0.208, 0.000, 0.678), Cl at (0.100, 0.197, 0.787), Cl at (0.109, 0.500, 0.210) and Cl at (0.180, 0.000, 0.292).


(14)
CaTlCl | GGA-PBE | optimized geometry

The calculation puts the uncorrected formation energy at -3.2 eV/f.u. The energy above the most stable polymorph in this dataset is 0 meV per atom. The total magnetization is 0.0 μB per cell.

It has space group Amm2 (No. 38), with a = 16.211 Å, b = 3.838 Å, c = 6.639 Å, α = 90.00°, β = 90.00° and γ = 90.00°. Symmetry generates all atoms from Ca at (0.000, 0.000, 0.000), Ca at (0.500, 0.000, 0.219), Tl at (0.340, 0.000, 0.886) and Cl at (0.101, 0.000, 0.334).


(15)
CaTlCl | GGA-PBE | optimized geometry

The calculation puts the uncorrected formation energy at -2.6 eV/f.u. The energy above the most stable polymorph in this dataset is 169 meV per atom. The total magnetization is 0.0 μB per cell.

It has space group P-6m2 (No. 187), with a = 4.7609 Å, b = 4.7609 Å, c = 4.8266 Å, α = 90.00°, β = 90.00° and γ = 120.00°. Symmetry generates all atoms from Ca at (0.0000, 0.0000, 0.0000), Tl at (0.3333, 0.6667, 0.5000) and Cl at (0.6667, 0.3333, 0.0000).


(16)
Ca3Tl2Cl8 | GGA-PBE | optimized geometry

The calculation puts the uncorrected formation energy at -25.8 eV/f.u. The total magnetization is 0.0 μB per cell.

It has space group C2/m (No. 12), with a = 15.485 Å, b = 8.331 Å, c = 7.136 Å, α = 90.00°, β = 108.56° and γ = 90.00°. Symmetry generates all atoms from Ca at (0.000, 0.000, 0.000), Ca at (0.000, 0.258, 0.500), Tl at (0.224, 0.500, 0.158), Cl at (0.098, 0.000, 0.402), Cl at (0.104, 0.226, 0.891) and Cl at (0.108, 0.500, 0.448).


(17)
Ca4TlCl | GGA-PBE | optimized geometry

The calculation puts the uncorrected formation energy at 0.0 eV/f.u. The total magnetization is 0.0 μB per cell.

It has space group F-43m (No. 216), with a = 9.734 Å, b = 9.734 Å, c = 9.734 Å, α = 90.00°, β = 90.00° and γ = 90.00°. Symmetry generates all atoms from Ca at (0.124, 0.124, 0.376), Tl at (0.250, 0.250, 0.750) and Cl at (0.000, 0.000, 0.000).


(18)
CaTl2Cl8 | GGA-PBE | optimized geometry

The calculation puts the uncorrected formation energy at -12.2 eV/f.u. The energy above the most stable polymorph in this dataset is 0 meV per atom. The total magnetization is 0.0 μB per cell.

It has space group C2/c (No. 15), with a = 17.369 Å, b = 9.400 Å, c = 13.007 Å, α = 90.00°, β = 131.35° and γ = 90.00°. Symmetry generates all atoms from Ca at (0.000, 0.002, 0.250), Tl at (0.085, 0.263, 0.033), Cl at (0.087, 0.197, 0.693), Cl at (0.095, 0.226, 0.233), Cl at (0.139, 0.499, 0.540) and Cl at (0.169, 0.052, 0.024).


(19)
Ca3TlCl | GGA-PBE | optimized geometry

The calculation puts the uncorrected formation energy at -3.4 eV/f.u. The energy above the most stable polymorph in this dataset is 0 meV per atom. The total magnetization is 0.0 μB per cell.

It has space group Pm-3m (No. 221), with a = 5.348 Å, b = 5.348 Å, c = 5.348 Å, α = 90.00°, β = 90.00° and γ = 90.00°. Symmetry generates all atoms from Ca at (0.000, 0.000, 0.500), Tl at (0.500, 0.500, 0.500) and Cl at (0.000, 0.000, 0.000).


(20)
Ca3TlCl | GGA-PBE | optimized geometry

The calculation puts the uncorrected formation energy at -2.0 eV/f.u. The energy above the most stable polymorph in this dataset is 280 meV per atom. The total magnetization is 0.0 μB per cell.

It has space group Pm-3m (No. 221), with a = 5.987 Å, b = 5.987 Å, c = 5.987 Å, α = 90.00°, β = 90.00° and γ = 90.00°. Symmetry generates all atoms from Ca at (0.000, 0.000, 0.500), Tl at (0.000, 0.000, 0.000) and Cl at (0.500, 0.500, 0.500).